A relaxed structure of La2InRuAu, computed with PBE.

a b c (Å): 4.173 8.287 7.988
angles (deg): 109.87 90.00 90.00
Fractional positions:
La 0.750 0.881 0.647
La 0.750 0.736 0.038
La 0.250 0.119 0.353
La 0.250 0.264 0.962
In 0.250 0.544 0.664
In 0.750 0.456 0.336
Ru 0.250 0.875 0.890
Ru 0.750 0.125 0.110
Au 0.250 0.709 0.327
Au 0.750 0.291 0.673

Summary:
calculated total energy: -5.58 eV/atom
offset from the most stable computed form: 0.0 meV per atom
ΔE_f: -0.554 eV/atom
DOS(E_F): 2.90 states/eV/f.u.

A relaxed structure of MnCdRu2, computed with PBE.

a b c (Å): 9.127 9.127 9.127
angles (deg): 17.24 17.24 17.24
Fractional positions:
Cd 0.250 0.250 0.250
Mn 0.750 0.750 0.750
Ru 0.010 0.010 0.010
Ru 0.490 0.490 0.490

Summary:
calculated total energy: -6.93 eV/atom
ΔE_f: 0.233 eV/atom
DOS(E_F): 2.01 states/eV/f.u.

A relaxed structure of LaMg2P, computed with PBE.

a b c (Å): 7.873 7.873 7.873
angles (deg): 29.91 29.91 29.91
Fractional positions:
La 0.750 0.750 0.750
Mg 0.968 0.968 0.968
Mg 0.532 0.532 0.532
P 0.250 0.250 0.250

Summary:
calculated total energy: -3.61 eV/atom
ΔE_f: -0.226 eV/atom
DOS(E_F): 1.81 states/eV/f.u.

Q: The highest DOS(E_F) belongs to which entry?
A: La2InRuAu

Q: Which of these has the lowest DOS(E_F)?
A: LaMg2P